Density functional theory data (PBE) for crystalline Rb2BaHfBr6 at its relaxed geometry.

Computed properties:
The calculation puts the formation energy without anion corrections at -1467 meV per atom. The value obtained for the uncorrected energy is -154.07 eV per cell.

Cell: 11.7040 11.7040 11.7040 Å, 90.00 90.00 90.00°
Space group Fm-3m (No. 225)
Unique sites:
Rb 0.2500 0.2500 0.2500
Ba 0.0000 0.0000 0.0000
Hf 0.0000 0.0000 0.5000
Br 0.0000 0.0000 0.2691

=====

Density functional theory data (PBE) for crystalline Hf3Al3Pd2Rh at its relaxed geometry.

Computed properties:
The value obtained for the uncorrected energy is -65.75 eV per cell. The formation energy is -0.769 eV per atom.

Cell: 6.6124 6.6124 4.1438 Å, 90.00 90.00 120.00°
Space group P-62m (No. 189)
Unique sites:
Hf 0.0000 0.4144 0.0000
Al 0.0000 0.7584 0.5000
Pd 0.3333 0.6667 0.5000
Rh 0.0000 0.0000 0.0000